DFT (PBE with a Hubbard U) results for crystalline K2CoPd2O6 at its relaxed geometry.

Output
V ... 13.84 Å³ per atom
Total energy ... -5.165 eV/atom

a b c (Å): 5.3222 5.3222 6.3761
angles (deg): 98.72 98.72 118.12
Each line ends with the local moment (μB).
Fractional positions:
O  0.7420  0.7420  0.6637  0.02
O  0.2580  0.2580  0.3363  0.02
O  0.9504  0.6294  0.3345  0.08
O  0.3706  0.0496  0.6655  0.08
O  0.6294  0.9504  0.3345  0.08
O  0.0496  0.3706  0.6655  0.08
K  0.1716  0.8284  0.0000  0.00
K  0.8284  0.1716  0.0000  0.00
Pd  0.6660  0.3340  0.5000  0.26
Pd  0.3340  0.6660  0.5000  0.26
Co  0.0000  0.0000  0.5000  0.03